(1)
## Sm2TeS2 (PBE)

Data for a relaxed Sm2TeS2 crystal.

Geometry as extended XYZ:
```
5
Lattice="4.144 0.000 -1.193 -0.514 5.128 -1.785 -0.004 -0.193 7.779" Properties=species:S:1:pos:R:3 pbc="T T T"
Sm 2.670 0.782 1.479
Sm 0.956 4.153 3.321
Te 0.000 0.000 0.000
S 1.059 1.387 3.678
S 2.567 3.548 1.122
```

Computed properties:
Size of the total moment   0.00 μB/atom
Formation energy from raw total energies   -1.853 eV/atom
E above lowest polymorph   0.0000 eV per atom
Raw total energy   -30.10 eV per cell
V   32.75 A^3/atom
Theoretical density   4.99 g cm⁻³

***

(2)
## Li8As2Pt (PBE)

Data for a relaxed Li8As2Pt crystal.

Geometry as extended XYZ:
```
11
Lattice="4.276 0.000 0.000 0.000 6.188 -0.194 -2.138 -2.895 6.469" Properties=species:S:1:pos:R:3 pbc="T T T"
Li 0.000 1.569 4.334
Li 2.138 4.586 1.852
Li 2.138 3.224 4.115
Li 2.138 -1.151 6.414
Li 0.000 0.068 2.161
Li 0.000 -1.294 4.424
Li 2.138 1.724 1.941
Li 0.000 4.443 -0.139
As 2.138 0.128 4.097
As 0.000 3.164 2.178
Pt 2.138 0.000 0.000
```

Computed properties:
Size of the total moment   0.00 μB/atom
Raw total energy   -37.20 eV per cell
V   15.34 A^3/atom
Theoretical density   3.94 g cm⁻³